[1]
Below is an optimized crystal structure of LaMgZn, with properties calculated at the PBE-GGA level.

## Properties
* uncorrected energy: -2.7979 eV/atom
* size of the total moment: 0.00 μB/cell

Geometry as extended XYZ:
```
3
Lattice="-0.253 0.789 4.932 -4.198 -0.354 -2.694 -0.061 -3.460 0.550" Properties=species:S:1:pos:R:3 pbc="T T T"
La 0.000 -0.001 0.000
Zn -2.914 -1.701 0.123
Mg -1.599 -1.323 2.665
```

[2]
Below is an optimized crystal structure of SrLi2Os, with properties calculated at the PBE-GGA level.

## Properties
* energy relative to the lowest polymorph listed for this composition: 0.80 eV/f.u.
* size of the total moment: 0.45 μB/cell

Geometry as extended XYZ:
```
4
Lattice="4.402 0.000 0.000 0.000 4.402 0.000 0.000 0.000 3.959" Properties=species:S:1:pos:R:3 pbc="T T T"
Sr 0.000 2.201 1.979
Li 0.000 0.000 0.000
Os 2.201 0.000 1.979
Li 2.201 2.201 0.000
```

[3]
Below is an optimized crystal structure of Tb2Be2ZnPd5, with properties calculated at the PBE-GGA level.

## Properties
* uncorrected energy: -5.1185 eV/atom
* size of the total moment: 0.00 μB/cell

Geometry as extended XYZ:
```
20
Lattice="-2.059 -2.693 0.733 7.630 -5.052 2.867 -1.159 3.315 8.924" Properties=species:S:1:pos:R:3 pbc="T T T"
Be 6.287 -3.189 5.936
Pd 1.940 -2.582 4.168
Be 0.185 1.452 5.855
Be 3.695 -0.199 9.642
Zn 3.236 -0.868 5.895
Tb 4.968 -2.835 3.534
Pd -1.428 0.922 7.581
Pd 2.786 -3.873 1.800
Pd 2.473 -1.848 8.357
Tb 5.485 -1.903 8.408
Tb 0.987 0.167 3.383
Pd -1.609 0.311 4.828
Pd 0.503 -0.916 6.251
Pd 3.894 -2.230 10.946
Be 2.777 -1.538 2.149
Pd 3.911 -3.515 6.273
Pd 5.841 -5.352 4.943
Zn 0.000 0.000 0.000
Tb 1.504 1.099 8.256
Pd 0.519 -2.200 1.578
```

[4]
Below is an optimized crystal structure of Tb4Pr3Zn4, with properties calculated at the PBE-GGA level.

## Properties
* uncorrected energy: -3.5860 eV/atom
* size of the total moment: 0.00 μB/cell

Geometry as extended XYZ:
```
11
Lattice="-4.387 1.232 1.728 -1.246 -7.457 2.155 6.031 4.622 5.141" Properties=species:S:1:pos:R:3 pbc="T T T"
Zn -3.231 -5.596 2.659
Zn -0.339 1.487 4.951
Zn -2.401 -0.628 1.224
Tb -1.976 -4.167 4.828
Zn 0.737 -3.090 4.074
Pr 0.721 0.339 1.589
Tb -1.450 -1.021 3.919
Tb 1.848 -0.582 5.105
Pr -0.323 -1.941 7.435
Tb 2.374 2.564 4.196
Pr -0.623 -3.728 1.077
```

Which of these has the highest size of the total moment?
SrLi2Os

What did the second record say?
Below is an optimized crystal structure of SrLi2Os, with properties calculated at the PBE-GGA level.

## Properties
* energy relative to the lowest polymorph listed for this composition: 0.80 eV/f.u.
* size of the total moment: 0.45 μB/cell

Geometry as extended XYZ:
```
4
Lattice="4.402 0.000 0.000 0.000 4.402 0.000 0.000 0.000 3.959" Properties=species:S:1:pos:R:3 pbc="T T T"
Sr 0.000 2.201 1.979
Li 0.000 0.000 0.000
Os 2.201 0.000 1.979
Li 2.201 2.201 0.000
```

Which value of size of the total moment does entry 2 give?
0.45 μB/cell